[1]
The following is a GGA-PBE calculation of an optimized crystal structure of LiScSn2, from the Alexandria database.

The structure belongs to space group P4/mmm (No. 123); the cell edges are 3.442, 3.442 and 7.218 Å and the angles 90.00°, 90.00° and 90.00°. The distinct sites, in fractional coordinates, are Li at (0.000, 0.000, 0.000), Sc at (0.000, 0.000, 0.500) and Sn at (0.500, 0.500, 0.231).

The calculation puts the energy at -4.48 eV/atom. As for the energy relative to the elements: -420 meV per atom. The density of states at the Fermi level is 2.0 states/eV/cell. As for the crystal system: tetragonal. As for the magnetization: 0.0 Bohr magnetons per cell.



[2]
The following is a GGA-PBE calculation of an optimized crystal structure of LiScSn2, from the Alexandria database.

The structure belongs to space group I-42d (No. 122); the cell edges are 7.638, 7.638 and 6.202 Å and the angles 90.00°, 90.00° and 90.00°. The distinct sites, in fractional coordinates, are Li at (0.000, 0.000, 0.000), Sc at (0.000, 0.000, 0.500) and Sn at (0.216, 0.250, 0.125).

The calculation puts the energy at -4.27 eV/atom. As for the energy relative to the elements: -206 meV per atom. The density of states at the Fermi level is 6.7 states/eV/cell. As for the crystal system: tetragonal. As for the magnetization: 0.0 Bohr magnetons per cell.